Crystalline Nb2AlPd at its relaxed geometry. Source: Alexandria via LeMat-Bulk, functional PBEsol.

Cell: 3.7203 3.7203 20.0713 Å, 90.00 90.00 90.00°
Last column: nearest neighbours and their distance in Å.
Space group I-42d (No. 122)
Unique sites:
Nb (0.2444, 0.2500, 0.1250) (multiplicity 8)  4 Nb 2.60-2.66, 2 Al 2.83, 2 Pd 2.84
Al (0.0000, 0.0000, 0.0000) (multiplicity 4)  4 Pd 2.63, 4 Nb 2.83
Pd (0.0000, 0.0000, 0.5000) (multiplicity 4)  4 Al 2.63, 4 Nb 2.84

* E: -124.04 eV for the cell shown
* ΔE_f: 0.171 eV per atom
* total magnetization: 0.0 μB/f.u.

***

Crystalline NbAl2SiPd at its relaxed geometry. Source: Alexandria via LeMat-Bulk, functional PBEsol.

Cell: 4.8555 4.8555 4.6872 Å, 90.00 90.00 90.00°
Last column: nearest neighbours and their distance in Å.
Space group P4/mmm (No. 123)
Unique sites:
Nb (0.0000, 0.0000, 0.0000) (multiplicity 1)  2 Si 2.34, 4 Al 2.43
Al (0.0000, 0.5000, 0.0000) (multiplicity 2)  2 Nb 2.43
Si (0.0000, 0.0000, 0.5000) (multiplicity 1)  2 Nb 2.34
Pd (0.5000, 0.5000, 0.5000) (multiplicity 1)  8 Al 3.37, 4 Si 3.43

* E_form (uncorrected): 969.0 meV/atom
* E: -25.86 eV for the cell shown
* total magnetization: 0.0 μB/f.u.

***

Crystalline NbAl2Re at its relaxed geometry. Source: Alexandria via LeMat-Bulk, functional PBEsol.

Cell: 3.7733 3.7733 18.9372 Å, 90.00 90.00 90.00°
Last column: nearest neighbours and their distance in Å.
Space group I-42d (No. 122)
Unique sites:
Nb (0.0000, 0.0000, 0.0000) (multiplicity 4)  4 Re 2.67, 4 Al 2.72
Al (0.2463, 0.2500, 0.6250) (multiplicity 8)  4 Al 2.65-2.69, 2 Re 2.71, 2 Nb 2.72
Re (0.0000, 0.0000, 0.5000) (multiplicity 4)  4 Nb 2.67, 4 Al 2.71

* E: -124.58 eV for the cell shown
* ΔE_f: 0.298 eV per atom
* total magnetization: 0.0 μB/f.u.

***

Crystalline Nb2AlTlRe at its relaxed geometry. Source: Alexandria via LeMat-Bulk, functional PBEsol.

Cell: 4.8256 4.8256 5.1476 Å, 90.00 90.00 90.00°
Last column: nearest neighbours and their distance in Å.
Space group P4/mmm (No. 123)
Unique sites:
Nb (0.0000, 0.5000, 0.0000) (multiplicity 2)  2 Re 2.41
Al (0.0000, 0.0000, 0.5000) (multiplicity 1)  4 Tl 3.41, 8 Nb 3.53
Tl (0.5000, 0.5000, 0.5000) (multiplicity 1)  2 Re 2.57
Re (0.5000, 0.5000, 0.0000) (multiplicity 1)  4 Nb 2.41, 2 Tl 2.57

* E: -35.27 eV for the cell shown
* ΔE_f: 1.284 eV per atom
* total magnetization: 0.0 μB/f.u.

***

Crystalline NbAl3Ru at its relaxed geometry. Source: Alexandria via LeMat-Bulk, functional PBEsol.

Cell: 4.7550 4.7550 4.7550 Å, 90.00 90.00 90.00°
Last column: nearest neighbours and their distance in Å.
Space group Pm-3m (No. 221)
Unique sites:
Nb (0.0000, 0.0000, 0.0000) (multiplicity 1)  6 Al 2.38
Al (0.0000, 0.0000, 0.5000) (multiplicity 3)  2 Nb 2.38
Ru (0.5000, 0.5000, 0.5000) (multiplicity 1)  12 Al 3.36

* E: -25.65 eV for the cell shown
* ΔE_f: 1.524 eV per atom
* total magnetization: 1.1 μB/f.u.

***

Crystalline SrNbAlRu2 at its relaxed geometry. Source: Alexandria via LeMat-Bulk, functional PBEsol.

Cell: 4.5246 4.5246 4.9672 Å, 90.00 90.00 90.00°
Last column: nearest neighbours and their distance in Å.
Space group P4/mmm (No. 123)
Unique sites:
Sr (0.0000, 0.0000, 0.0000) (multiplicity 1)  2 Al 2.48
Nb (0.5000, 0.5000, 0.0000) (multiplicity 1)  4 Sr 3.20, 8 Ru 3.36
Al (0.0000, 0.0000, 0.5000) (multiplicity 1)  4 Ru 2.26, 2 Sr 2.48
Ru (0.0000, 0.5000, 0.5000) (multiplicity 2)  2 Al 2.26

* E: -30.17 eV for the cell shown
* ΔE_f: 1.385 eV per atom
* total magnetization: 1.5 μB/f.u.

***

Crystalline Nb6AlSb at its relaxed geometry. Source: Alexandria via LeMat-Bulk, functional PBEsol.

Cell: 5.2084 5.2084 5.2084 Å, 90.00 90.00 90.00°
Last column: nearest neighbours and their distance in Å.
Space group Pm-3 (No. 200)
Unique sites:
Nb (0.0000, 0.2462, 0.5000) (multiplicity 6)  2 Nb 2.56-2.64
Al (0.0000, 0.0000, 0.0000) (multiplicity 1)  12 Nb 2.90
Sb (0.5000, 0.5000, 0.5000) (multiplicity 1)  12 Nb 2.92

* E_form (uncorrected): -242.3 meV/atom
* E: -75.52 eV for the cell shown
* total magnetization: 0.0 μB/f.u.

***

Crystalline ScNbAlTe2 at its relaxed geometry. Source: Alexandria via LeMat-Bulk, functional PBEsol.

Cell: 5.2009 5.2009 4.8979 Å, 90.00 90.00 90.00°
Last column: nearest neighbours and their distance in Å.
Space group P4/mmm (No. 123)
Unique sites:
Sc (0.0000, 0.0000, 0.0000) (multiplicity 1)  2 Al 2.45
Nb (0.5000, 0.5000, 0.0000) (multiplicity 1)  8 Te 3.57, 4 Sc 3.68
Al (0.0000, 0.0000, 0.5000) (multiplicity 1)  2 Sc 2.45, 4 Te 2.60
Te (0.0000, 0.5000, 0.5000) (multiplicity 2)  2 Al 2.60

* E_form (uncorrected): 886.0 meV/atom
* E: -24.14 eV for the cell shown
* total magnetization: 3.1 μB/f.u.

***

Crystalline Nb2AlSe at its relaxed geometry. Source: Alexandria via LeMat-Bulk, functional PBEsol.

Cell: 6.4325 6.4325 6.4325 Å, 90.00 90.00 90.00°
Last column: nearest neighbours and their distance in Å.
Space group Fm-3m (No. 225)
Unique sites:
Nb (0.2500, 0.2500, 0.2500) (multiplicity 8)  4 Se 2.79, 4 Al 2.79
Al (0.0000, 0.0000, 0.0000) (multiplicity 4)  8 Nb 2.79
Se (0.0000, 0.0000, 0.5000) (multiplicity 4)  8 Nb 2.79

* E_form (uncorrected): -54.6 meV/atom
* E: -119.21 eV for the cell shown
* total magnetization: 0.0 μB/f.u.

***

Crystalline NbAlSi3 at its relaxed geometry. Source: Alexandria via LeMat-Bulk, functional PBEsol.

Cell: 4.8313 4.8313 4.8313 Å, 90.00 90.00 90.00°
Last column: nearest neighbours and their distance in Å.
Space group Pm-3m (No. 221)
Unique sites:
Nb (0.0000, 0.0000, 0.0000) (multiplicity 1)  6 Si 2.42
Al (0.5000, 0.5000, 0.5000) (multiplicity 1)  12 Si 3.42
Si (0.0000, 0.0000, 0.5000) (multiplicity 3)  2 Nb 2.42

* E_form (uncorrected): 703.3 meV/atom
* E: -28.64 eV for the cell shown
* total magnetization: 0.0 μB/f.u.

***

Crystalline Sm6Nb4Al43 at its relaxed geometry. Source: Alexandria via LeMat-Bulk, functional PBEsol.

Cell: 11.0711 11.0711 17.8612 Å, 90.00 90.00 120.00°
Last column: nearest neighbours and their distance in Å.
Space group P6_3/mcm (No. 193)
Unique sites:
Sm (0.0000, 0.4705, 0.0956) (multiplicity 12)  14 Al 3.06-3.41
Nb (0.0000, 0.0000, 0.0000) (multiplicity 2)  12 Al 2.71-2.87
Nb (0.0000, 0.2719, 0.2500) (multiplicity 6)  10 Al 2.61-2.74
Al (0.0000, 0.1482, 0.7500) (multiplicity 6)  2 Nb 2.61, 6 Al 2.84-2.85
Al (0.0000, 0.1588, 0.1154) (multiplicity 12)  2 Nb 2.71, 7 Al 2.75-2.95
Al (0.0000, 0.2545, 0.5297) (multiplicity 12)  9 Al 2.75-3.01, 1 Nb 2.87
Al (0.1499, 0.5547, 0.2500) (multiplicity 12)  1 Nb 2.71, 7 Al 2.75-2.88
Al (0.1585, 0.3947, 0.6634) (multiplicity 24)  7 Al 2.73-3.04, 1 Nb 2.74
Al (0.2473, 0.4947, 0.0000) (multiplicity 12)  6 Al 2.75-2.86
Al (0.3333, 0.6667, 0.1257) (multiplicity 8)  9 Al 2.73-2.84

* E: -535.27 eV for the cell shown
* ΔE_f: -0.337 eV per atom
* total magnetization: 0.0 μB/f.u.

***

Crystalline Nb2AlSn at its relaxed geometry. Source: Alexandria via LeMat-Bulk, functional PBEsol.

Cell: 6.5851 6.5851 6.5851 Å, 90.00 90.00 90.00°
Last column: nearest neighbours and their distance in Å.
Space group Fm-3m (No. 225)
Unique sites:
Nb (0.2500, 0.2500, 0.2500) (multiplicity 8)  4 Sn 2.85, 4 Al 2.85
Al (0.0000, 0.0000, 0.0000) (multiplicity 4)  8 Nb 2.85
Sn (0.0000, 0.0000, 0.5000) (multiplicity 4)  8 Nb 2.85

* E: -118.92 eV for the cell shown
* ΔE_f: 0.066 eV per atom
* total magnetization: 0.0 μB/f.u.